A relaxed structure of Ca3TlV4O12. Source: Alexandria, functional PBE with a Hubbard U.

Space group: R32, No. 155
Uncorrected energy (eV/atom): -6.900
M_tot (μB/f.u.): 3.0

The structure in extended XYZ format:
```
20
Lattice="7.415 -0.473 -0.657 -2.246 7.083 -0.657 -2.246 -2.871 6.508" Properties=species:S:1:pos:R:3 pbc="T T T"
O -2.703 5.127 2.597
Ca 3.195 2.827 -0.657
O 0.129 5.386 0.530
O 1.462 0.465 3.607
O -2.272 2.315 4.663
O 0.099 2.935 2.597
O -1.203 -0.165 5.276
Ca -2.246 2.735 2.472
V -2.654 0.847 5.649
O 5.627 2.903 -0.492
O 1.462 -2.422 5.686
O 4.126 -1.317 3.676
V 1.462 6.110 -0.456
O 2.794 4.945 -0.082
O 2.825 2.207 1.586
O 5.196 0.051 1.518
Ca 1.974 -1.824 3.378
V 5.578 -1.350 2.597
V 1.462 1.869 2.597
Tl 0.000 0.000 0.000
```